1.
Material: AuSCl2O
Method: DFT, PBE-GGA
State: optimized geometry

Values from the calculation:
Its formation energy (no corrections) is 52.7 kJ per mole of atoms. As for the total energy: -13.32 eV per cell. The calculation puts the offset from the most stable computed form at 0.00 eV/f.u. For the volume, the calculation gives 110.8 Å³/cell.

a b c (Å): 5.8503 5.8503 3.2382
angles (deg): 90.00 90.00 90.00
Space group P4/mmm (No. 123)
Symmetry-distinct sites (fractional):
Au: 0.0000 0.0000 0.0000 [1 per cell]
S: 0.5000 0.5000 0.0000 [1 per cell]
Cl: 0.0000 0.5000 0.5000 [2 per cell]
O: 0.5000 0.5000 0.5000 [1 per cell]



2.
Material: AuS2Cl2O6
Method: DFT, PBE-GGA
State: optimized geometry

Values from the calculation:
Its formation energy (no corrections) is -68.8 kJ per mole of atoms. As for the total energy: -52.82 eV per cell. For the volume, the calculation gives 226.4 Å³/cell.

a b c (Å): 5.2623 5.2623 9.4408
angles (deg): 90.00 90.00 120.00
Space group P-3 (No. 147)
Symmetry-distinct sites (fractional):
Au: 0.0000 0.0000 0.0000 [1 per cell]
S: 0.3333 0.6667 0.8189 [2 per cell]
Cl: 0.3333 0.6667 0.6025 [2 per cell]
O: 0.0641 0.6685 0.8581 [6 per cell]



3.
Material: AuSCl2O
Method: DFT, PBE-GGA
State: optimized geometry

Values from the calculation:
Its formation energy (no corrections) is 85.3 kJ per mole of atoms. As for the total energy: -11.64 eV per cell. The calculation puts the offset from the most stable computed form at 1.69 eV/f.u. For the volume, the calculation gives 122.4 Å³/cell.

a b c (Å): 5.0552 5.0552 4.7878
angles (deg): 90.00 90.00 90.00
Space group P4/mmm (No. 123)
Symmetry-distinct sites (fractional):
Au: 0.0000 0.0000 0.0000 [1 per cell]
S: 0.0000 0.0000 0.5000 [1 per cell]
Cl: 0.0000 0.5000 0.0000 [2 per cell]
O: 0.5000 0.5000 0.5000 [1 per cell]



4.
Material: TcAuClO4
Method: DFT, PBE-GGA
State: optimized geometry

Values from the calculation:
Its formation energy (no corrections) is -77.8 kJ per mole of atoms. As for the total energy: -163.88 eV per cell. For the volume, the calculation gives 577.0 Å³/cell.

a b c (Å): 13.8788 7.0530 6.2410
angles (deg): 90.00 109.18 90.00
Space group C2/m (No. 12)
Symmetry-distinct sites (fractional):
Tc: 0.1438 0.0000 0.2586 [4 per cell]
Au: 0.1554 0.5000 0.1070 [4 per cell]
Cl: 0.0479 0.5000 0.7153 [4 per cell]
O: 0.0218 0.0000 0.2663 [4 per cell]
O: 0.1647 0.2037 0.1129 [8 per cell]
O: 0.2286 0.0000 0.5357 [4 per cell]



5.
Material: OsAuCl
Method: DFT, PBE-GGA
State: optimized geometry

Values from the calculation:
Its formation energy (no corrections) is 122.9 kJ per mole of atoms. As for the total energy: -50.13 eV per cell. The calculation puts the offset from the most stable computed form at 1.72 eV/f.u. For the volume, the calculation gives 239.2 Å³/cell.

a b c (Å): 6.2074 6.2074 6.2074
angles (deg): 90.00 90.00 90.00
Space group F-43m (No. 216)
Symmetry-distinct sites (fractional):
Os: 0.0000 0.0000 0.0000 [4 per cell]
Au: 0.2500 0.2500 0.2500 [4 per cell]
Cl: 0.2500 0.2500 0.7500 [4 per cell]



6.
Material: OsAuCl
Method: DFT, PBE-GGA
State: optimized geometry

Values from the calculation:
Its formation energy (no corrections) is 70.2 kJ per mole of atoms. As for the total energy: -14.17 eV per cell. The calculation puts the offset from the most stable computed form at 0.08 eV/f.u. For the volume, the calculation gives 53.8 Å³/cell.

a b c (Å): 2.9423 2.9423 7.1802
angles (deg): 90.00 90.00 120.00
Space group P3m1 (No. 156)
Symmetry-distinct sites (fractional):
Os: 0.0000 0.0000 0.0000 [1 per cell]
Au: 0.6667 0.3333 0.3092 [1 per cell]
Cl: 0.3333 0.6667 0.7469 [1 per cell]



7.
Material: OsAuCl
Method: DFT, PBE-GGA
State: optimized geometry

Values from the calculation:
Its formation energy (no corrections) is 67.7 kJ per mole of atoms. As for the total energy: -57.00 eV per cell. The calculation puts the offset from the most stable computed form at 0.00 eV/f.u. For the volume, the calculation gives 217.7 Å³/cell.

a b c (Å): 2.8196 5.2552 14.6929
angles (deg): 90.00 90.00 90.00
Space group Fmm2 (No. 42)
Symmetry-distinct sites (fractional):
Os: 0.0000 0.0000 0.0000 [4 per cell]
Au: 0.0000 0.0000 0.3377 [4 per cell]
Cl: 0.0000 0.0000 0.6280 [4 per cell]



8.
Material: OsAuCl4
Method: DFT, PBE-GGA
State: optimized geometry

Values from the calculation:
Its formation energy (no corrections) is 153.3 kJ per mole of atoms. As for the total energy: -49.45 eV per cell. For the volume, the calculation gives 513.5 Å³/cell.

a b c (Å): 8.0079 8.0079 8.0079
angles (deg): 90.00 90.00 90.00
Space group F-43m (No. 216)
Symmetry-distinct sites (fractional):
Os: 0.0000 0.0000 0.0000 [4 per cell]
Au: 0.2500 0.2500 0.7500 [4 per cell]
Cl: 0.1257 0.1257 0.3743 [16 per cell]



Number 4 is which compound?
TcAuClO4